# TaTcI2O (PBE-GGA, relaxed)
data_TaTcI2O
_chemical_formula_sum 'Ta1 Tc1 I2 O1'
_space_group_name_H-M_alt 'P 1'
_space_group_IT_number 1
_cell_length_a 5.542
_cell_length_b 5.542
_cell_length_c 3.688
_cell_angle_alpha 90.00
_cell_angle_beta 90.00
_cell_angle_gamma 90.00
loop_
_space_group_symop_operation_xyz
'x,y,z'
loop_
_atom_site_label
_atom_site_fract_x
_atom_site_fract_y
_atom_site_fract_z
Ta1 0.000 0.000 0.000
Tc1 0.500 0.500 0.500
I1 0.000 0.500 0.500
I2 0.500 0.000 0.500
O1 0.500 0.500 0.000
# energy above the most stable polymorph in this dataset = 0.288 eV per atom
# space group = P4/mmm
# magnetic moment = 2.87 Bohr magnetons per cell
# formation energy (no corrections) = 2.6 eV per formula unit
# E_tot = -0.407 Ry per atom

***

# LiLa2Nd (PBE-GGA, relaxed)
data_LiLa2Nd
_chemical_formula_sum 'Li1 La2 Nd1'
_space_group_name_H-M_alt 'P 1'
_space_group_IT_number 1
_cell_length_a 3.621
_cell_length_b 3.621
_cell_length_c 12.220
_cell_angle_alpha 90.00
_cell_angle_beta 90.00
_cell_angle_gamma 120.00
loop_
_space_group_symop_operation_xyz
'x,y,z'
loop_
_atom_site_label
_atom_site_fract_x
_atom_site_fract_y
_atom_site_fract_z
Li1 0.000 0.000 0.000
La1 0.000 0.000 0.727
La2 0.667 0.333 0.237
Nd1 0.333 0.667 0.484
# energy above the most stable polymorph in this dataset = 0.064 eV per atom
# space group = P3m1
# magnetic moment = 0.00 Bohr magnetons per cell
# calculated formation energy = 0.1207 eV per atom
# E_tot = -0.295 Ry per atom

***

# YSc3Cu4 (PBE-GGA, relaxed)
data_YSc3Cu4
_chemical_formula_sum 'Y1 Sc3 Cu4'
_space_group_name_H-M_alt 'P 1'
_space_group_IT_number 1
_cell_length_a 4.695
_cell_length_b 4.695
_cell_length_c 6.623
_cell_angle_alpha 90.00
_cell_angle_beta 90.00
_cell_angle_gamma 90.00
loop_
_space_group_symop_operation_xyz
'x,y,z'
loop_
_atom_site_label
_atom_site_fract_x
_atom_site_fract_y
_atom_site_fract_z
Y1 0.000 0.000 0.000
Sc1 0.000 0.000 0.500
Sc2 0.500 0.500 0.000
Sc3 0.500 0.500 0.500
Cu1 0.000 0.500 0.268
Cu2 0.000 0.500 0.732
Cu3 0.500 0.000 0.268
Cu4 0.500 0.000 0.732
# space group = P4/mmm
# magnetic moment = 0.00 Bohr magnetons per cell
# calculated formation energy = -0.2559 eV per atom
# E_tot = -0.403 Ry per atom

***

# ZrUPa14 (PBE-GGA, relaxed)
data_ZrUPa14
_chemical_formula_sum 'Zr1 U1 Pa14'
_space_group_name_H-M_alt 'P 1'
_space_group_IT_number 1
_cell_length_a 6.472
_cell_length_b 6.472
_cell_length_c 9.493
_cell_angle_alpha 90.00
_cell_angle_beta 90.00
_cell_angle_gamma 90.00
loop_
_space_group_symop_operation_xyz
'x,y,z'
loop_
_atom_site_label
_atom_site_fract_x
_atom_site_fract_y
_atom_site_fract_z
Zr1 0.000 0.000 0.000
U1 0.500 0.500 0.000
Pa1 0.000 0.000 0.500
Pa2 0.000 0.500 0.000
Pa3 0.000 0.500 0.500
Pa4 0.248 0.248 0.247
Pa5 0.248 0.248 0.753
Pa6 0.248 0.752 0.247
Pa7 0.248 0.752 0.753
Pa8 0.500 0.000 0.000
Pa9 0.500 0.000 0.500
Pa10 0.500 0.500 0.500
Pa11 0.752 0.248 0.247
Pa12 0.752 0.248 0.753
Pa13 0.752 0.752 0.247
Pa14 0.752 0.752 0.753
# space group = P4/mmm
# magnetic moment = 1.41 Bohr magnetons per cell
# calculated formation energy = 0.0463 eV per atom
# E_tot = -0.698 Ry per atom

***

# PuSn2Te6Pb3 (PBE-GGA, relaxed)
data_PuSn2Te6Pb3
_chemical_formula_sum 'Pu1 Sn2 Te6 Pb3'
_space_group_name_H-M_alt 'P 1'
_space_group_IT_number 1
_cell_length_a 10.251
_cell_length_b 10.251
_cell_length_c 9.202
_cell_angle_alpha 102.79
_cell_angle_beta 102.79
_cell_angle_gamma 25.77
loop_
_space_group_symop_operation_xyz
'x,y,z'
loop_
_atom_site_label
_atom_site_fract_x
_atom_site_fract_y
_atom_site_fract_z
Pu1 0.000 0.000 0.000
Sn1 0.332 0.332 0.663
Sn2 0.668 0.668 0.337
Te1 0.165 0.165 0.090
Te2 0.168 0.168 0.580
Te3 0.497 0.497 0.757
Te4 0.503 0.503 0.243
Te5 0.832 0.832 0.420
Te6 0.835 0.835 0.910
Pb1 0.000 0.000 0.500
Pb2 0.335 0.335 0.163
Pb3 0.665 0.665 0.837
# space group = C2/m
# magnetic moment = 5.93 Bohr magnetons per cell
# formation energy (no corrections) = -5.4 eV per formula unit
# E_tot = -0.354 Ry per atom

***

# PmAlRu2C (PBE-GGA, relaxed)
data_PmAlRu2C
_chemical_formula_sum 'Pm2 Al2 Ru4 C2'
_space_group_name_H-M_alt 'P 1'
_space_group_IT_number 1
_cell_length_a 5.952
_cell_length_b 5.952
_cell_length_c 7.280
_cell_angle_alpha 90.00
_cell_angle_beta 90.00
_cell_angle_gamma 140.59
loop_
_space_group_symop_operation_xyz
'x,y,z'
loop_
_atom_site_label
_atom_site_fract_x
_atom_site_fract_y
_atom_site_fract_z
Pm1 0.050 0.950 0.750
Pm2 0.950 0.050 0.250
Al1 0.227 0.773 0.250
Al2 0.773 0.227 0.750
Ru1 0.337 0.663 0.557
Ru2 0.337 0.663 0.943
Ru3 0.663 0.337 0.057
Ru4 0.663 0.337 0.443
C1 0.500 0.500 0.000
C2 0.500 0.500 0.500
# space group = Cmcm
# magnetic moment = 0.00 Bohr magnetons per cell
# calculated formation energy = -0.4034 eV per atom
# E_tot = -0.563 Ry per atom

***

Copy entry 2 word for word.
# LiLa2Nd (PBE-GGA, relaxed)
data_LiLa2Nd
_chemical_formula_sum 'Li1 La2 Nd1'
_space_group_name_H-M_alt 'P 1'
_space_group_IT_number 1
_cell_length_a 3.621
_cell_length_b 3.621
_cell_length_c 12.220
_cell_angle_alpha 90.00
_cell_angle_beta 90.00
_cell_angle_gamma 120.00
loop_
_space_group_symop_operation_xyz
'x,y,z'
loop_
_atom_site_label
_atom_site_fract_x
_atom_site_fract_y
_atom_site_fract_z
Li1 0.000 0.000 0.000
La1 0.000 0.000 0.727
La2 0.667 0.333 0.237
Nd1 0.333 0.667 0.484
# energy above the most stable polymorph in this dataset = 0.064 eV per atom
# space group = P3m1
# magnetic moment = 0.00 Bohr magnetons per cell
# calculated formation energy = 0.1207 eV per atom
# E_tot = -0.295 Ry per atom

***

The highest E_tot belongs to which entry? LiLa2Nd